No. 1
VASP calculation (PBE-GGA) on an optimized crystal structure of BeTlCrMo2.

a = 5.033 Å, b = 5.033 Å, c = 4.090 Å
α = 90.00°, β = 90.00°, γ = 90.00°
Space group P4/mmm (No. 123)
Unique sites:
Be  0.000  0.000  0.000 [1 per cell]
Tl  0.000  0.000  0.500 [1 per cell]
Cr  0.500  0.500  0.000 [1 per cell]
Mo  0.000  0.500  0.500 [2 per cell]

Computed properties:
For the energy of formation from the pure elements, the calculation gives 2.563 eV/atom. The calculation puts the raw total energy at -4.912 eV per atom.

***

No. 2
VASP calculation (PBE-GGA) on an optimized crystal structure of Sc3CdN.

a = 5.363 Å, b = 6.120 Å, c = 5.964 Å
α = 90.00°, β = 93.18°, γ = 90.00°
Space group P2_1/m (No. 11)
Unique sites:
Sc  0.229  0.250  0.138 [2 per cell]
Sc  0.237  0.002  0.639 [4 per cell]
Cd  0.291  0.750  0.133 [2 per cell]
N  0.044  0.250  0.432 [2 per cell]

Computed properties:
The calculation puts the raw total energy at -6.388 eV per atom. The formation energy (no corrections) is -0.741 eV per atom.